PmNd5Ag6: relaxed, GGA-PBE.

a b c (Å): 5.3449 16.0245 7.4119
angles (deg): 90.00 90.00 90.00
With the nearest neighbours (Å) after each atom.
Space group Cmmm (No. 65)
Asymmetric unit:
Pm1 0.0000 0.0000 0.0000 [2 per cell]  8 Ag 3.24
Nd1 0.0000 0.0000 0.5000 [2 per cell]  8 Ag 3.24-3.26
Nd2 0.0000 0.3335 0.0000 [4 per cell]  8 Ag 3.24-3.26
Nd3 0.0000 0.3331 0.5000 [4 per cell]  8 Ag 3.26
Ag1 0.0000 0.1659 0.2490 [8 per cell]  1 Pm 3.24, 7 Nd 3.24-3.26
Ag2 0.0000 0.5000 0.2478 [4 per cell]  6 Nd 3.24-3.26, 2 Pm 3.24

Crystal system   orthorhombic
V   635 Å³/cell
Total magnetization   0.00 μB/f.u.
Total energy   -4.066 eV/atom
Density of states at the Fermi level   0.877 states/eV per atom

MgZrTc3: relaxed, GGA-PBE.

a b c (Å): 4.5220 4.5220 4.5220
angles (deg): 90.00 90.00 90.00
With the nearest neighbours (Å) after each atom.
Space group Pm-3m (No. 221)
Asymmetric unit:
Mg1 0.0000 0.0000 0.0000 [1 per cell]  6 Tc 2.26
Zr1 0.5000 0.5000 0.5000 [1 per cell]  12 Tc 3.20
Tc1 0.0000 0.0000 0.5000 [3 per cell]  2 Mg 2.26

Crystal system   cubic
V   92 Å³/cell
Total magnetization   1.56 μB/f.u.
Total energy   -6.779 eV/atom
Density of states at the Fermi level   1.891 states/eV per atom
E above lowest polymorph   0.00 eV per formula unit

PaTcGe: relaxed, GGA-PBE.

a b c (Å): 3.2051 3.2051 10.8595
angles (deg): 90.00 90.00 90.00
With the nearest neighbours (Å) after each atom.
Space group I4mm (No. 107)
Asymmetric unit:
Pa1 0.0000 0.0000 0.0000 [2 per cell]  4 Tc 2.95, 5 Ge 3.18-3.21, 4 Pa 3.21
Tc1 0.0000 0.0000 0.6743 [2 per cell]  4 Ge 2.62
Ge1 0.0000 0.0000 0.2952 [2 per cell]  4 Tc 2.62

Crystal system   tetragonal
V   112 Å³/cell
Total magnetization   0.00 μB/f.u.
Total energy   -8.505 eV/atom
Density of states at the Fermi level   0.733 states/eV per atom
E above lowest polymorph   0.50 eV per formula unit

BaPuHgTe3: relaxed, GGA-PBE.

a b c (Å): 9.0827 4.5883 10.3475
angles (deg): 90.00 107.97 90.00
With the nearest neighbours (Å) after each atom.
Space group P2_1/m (No. 11)
Asymmetric unit:
Ba1 0.2208 0.2500 0.2526 [2 per cell]  7 Te 3.46-3.85, 1 Hg 3.59
Pu1 0.3204 0.7500 0.8260 [2 per cell]  6 Te 3.09-3.15
Hg1 0.1090 0.2500 0.5562 [2 per cell]  2 Hg 3.02, 3 Te 3.11-3.23
Te1 0.0927 0.2500 0.8518 [2 per cell]  1 Hg 3.11, 2 Pu 3.15
Te2 0.3491 0.7500 0.5322 [2 per cell]  1 Pu 3.13, 2 Hg 3.23
Te3 0.4394 0.7500 0.1402 [2 per cell]  3 Pu 3.09-3.11, 2 Ba 3.46

Formation energy from raw total energies   -5.93 eV/f.u.
Crystal system   monoclinic
V   410 Å³/cell
Total magnetization   5.01 μB/f.u.
Total energy   -5.318 eV/atom
Density of states at the Fermi level   2.315 states/eV per atom

Sm7Sn2Pb2: relaxed, GGA-PBE.

a b c (Å): 8.9010 11.4749 7.3334
angles (deg): 90.00 90.00 90.00
With the nearest neighbours (Å) after each atom.
Space group Cmmm (No. 65)
Asymmetric unit:
Sm1 0.0000 0.0000 0.0000 [2 per cell]  2 Sn 3.18
Sm2 0.0000 0.5000 0.2585 [4 per cell]  2 Sn 3.18, 2 Pb 3.34, 1 Sm 3.54
Sm3 0.2500 0.2500 0.2823 [8 per cell]  2 Sn 3.06, 1 Sm 3.19, 2 Pb 3.34
Sn1 0.0000 0.2772 0.0000 [4 per cell]  7 Sm 3.06-3.18
Pb1 0.1814 0.0000 0.5000 [4 per cell]  1 Pb 3.23, 6 Sm 3.34

Crystal system   orthorhombic
V   749 Å³/cell
Total magnetization   0.01 μB/f.u.
Total energy   -4.656 eV/atom
Density of states at the Fermi level   1.195 states/eV per atom

Ho4PdRh: relaxed, GGA-PBE.

a b c (Å): 13.2479 13.2479 13.2479
angles (deg): 90.00 90.00 90.00
With the nearest neighbours (Å) after each atom.
Space group F-43m (No. 216)
Asymmetric unit:
Ho1 0.0000 0.0000 0.1864 [24 per cell]  2 Pd 3.03, 2 Rh 3.39, 2 Ho 3.39
Ho2 0.0605 0.2500 0.7500 [24 per cell]  2 Rh 2.78
Ho3 0.1094 0.1094 0.3906 [16 per cell]  3 Rh 2.84
Pd1 0.1609 0.1609 0.1609 [16 per cell]  9 Ho 3.03-3.37, 3 Pd 3.34
Rh1 0.1048 0.1048 0.6048 [16 per cell]  6 Ho 2.78-2.84

Crystal system   cubic
V   2325 Å³/cell
Total magnetization   0.00 μB/f.u.
Total energy   -5.784 eV/atom
Density of states at the Fermi level   0.984 states/eV per atom
E above lowest polymorph   0.00 eV per formula unit